# RbSr2Ga (PBE, relaxed)
data_RbSr2Ga
_space_group_name_H-M_alt 'P 1'
_space_group_IT_number 1
_space_group_name_Hall 'P 1'
_cell_length_a 4.400
_cell_length_b 4.400
_cell_length_c 38.538
_cell_angle_alpha 90.00
_cell_angle_beta 90.00
_cell_angle_gamma 120.00
loop_
_atom_site_label
_atom_site_fract_x
_atom_site_fract_y
_atom_site_fract_z
_atom_site_occupancy
Rb1 0.000 0.000 0.000 1
Rb2 0.333 0.667 0.667 1
Rb3 0.667 0.333 0.333 1
Sr1 0.000 0.000 0.115 1
Sr2 0.000 0.000 0.885 1
Sr3 0.333 0.667 0.552 1
Sr4 0.333 0.667 0.781 1
Sr5 0.667 0.333 0.219 1
Sr6 0.667 0.333 0.448 1
Ga1 0.000 0.000 0.500 1
Ga2 0.333 0.667 0.167 1
Ga3 0.667 0.333 0.833 1
# - E_form (eV/atom) = -0.025

# RbSrGa2 (PBE, relaxed)
data_RbSrGa2
_space_group_name_H-M_alt 'P 1'
_space_group_IT_number 1
_space_group_name_Hall 'P 1'
_cell_length_a 9.201
_cell_length_b 9.201
_cell_length_c 7.074
_cell_angle_alpha 90.00
_cell_angle_beta 90.00
_cell_angle_gamma 90.00
loop_
_atom_site_label
_atom_site_fract_x
_atom_site_fract_y
_atom_site_fract_z
_atom_site_occupancy
Rb1 0.000 0.000 0.000 1
Rb2 0.000 0.500 0.250 1
Rb3 0.500 0.000 0.750 1
Rb4 0.500 0.500 0.500 1
Sr1 0.000 0.000 0.500 1
Sr2 0.000 0.500 0.750 1
Sr3 0.500 0.000 0.250 1
Sr4 0.500 0.500 0.000 1
Ga1 0.229 0.750 0.625 1
Ga2 0.250 0.229 0.375 1
Ga3 0.250 0.271 0.875 1
Ga4 0.271 0.750 0.125 1
Ga5 0.729 0.250 0.125 1
Ga6 0.750 0.729 0.875 1
Ga7 0.750 0.771 0.375 1
Ga8 0.771 0.250 0.625 1
# - E_form (eV/atom) = 0.265
# - energy relative to the lowest polymorph listed for this composition (eV/f.u.) = 0.882

# RbSr3Ga (PBE, relaxed)
data_RbSr3Ga
_space_group_name_H-M_alt 'P 1'
_space_group_IT_number 1
_space_group_name_Hall 'P 1'
_cell_length_a 6.432
_cell_length_b 6.432
_cell_length_c 6.432
_cell_angle_alpha 90.00
_cell_angle_beta 90.00
_cell_angle_gamma 90.00
loop_
_atom_site_label
_atom_site_fract_x
_atom_site_fract_y
_atom_site_fract_z
_atom_site_occupancy
Rb1 0.000 0.000 0.000 1
Sr1 0.000 0.500 0.500 1
Sr2 0.500 0.000 0.500 1
Sr3 0.500 0.500 0.000 1
Ga1 0.500 0.500 0.500 1
# - E_form (eV/atom) = -0.063
# - energy relative to the lowest polymorph listed for this composition (eV/f.u.) = 0.000

# RbSrGaTe2 (PBE, relaxed)
data_RbSrGaTe2
_space_group_name_H-M_alt 'P 1'
_space_group_IT_number 1
_space_group_name_Hall 'P 1'
_cell_length_a 6.211
_cell_length_b 6.211
_cell_length_c 6.299
_cell_angle_alpha 90.00
_cell_angle_beta 90.00
_cell_angle_gamma 90.00
loop_
_atom_site_label
_atom_site_fract_x
_atom_site_fract_y
_atom_site_fract_z
_atom_site_occupancy
Rb1 0.000 0.000 0.000 1
Sr1 0.000 0.000 0.500 1
Ga1 0.500 0.500 0.000 1
Te1 0.000 0.500 0.500 1
Te2 0.500 0.000 0.500 1
# - formation energy (no corrections) (meV/atom) = -130

# RbSrTi2Ga (PBE, relaxed)
data_RbSrTi2Ga
_space_group_name_H-M_alt 'P 1'
_space_group_IT_number 1
_space_group_name_Hall 'P 1'
_cell_length_a 4.984
_cell_length_b 4.984
_cell_length_c 5.743
_cell_angle_alpha 90.00
_cell_angle_beta 90.00
_cell_angle_gamma 90.00
loop_
_atom_site_label
_atom_site_fract_x
_atom_site_fract_y
_atom_site_fract_z
_atom_site_occupancy
Rb1 0.000 0.000 0.000 1
Sr1 0.000 0.000 0.500 1
Ti1 0.000 0.500 0.000 1
Ti2 0.500 0.000 0.000 1
Ga1 0.500 0.500 0.500 1
# - E_form (eV/atom) = 1.803

# RbSrVGa2 (PBE, relaxed)
data_RbSrVGa2
_space_group_name_H-M_alt 'P 1'
_space_group_IT_number 1
_space_group_name_Hall 'P 1'
_cell_length_a 5.939
_cell_length_b 5.939
_cell_length_c 5.359
_cell_angle_alpha 90.00
_cell_angle_beta 90.00
_cell_angle_gamma 90.00
loop_
_atom_site_label
_atom_site_fract_x
_atom_site_fract_y
_atom_site_fract_z
_atom_site_occupancy
Rb1 0.000 0.000 0.000 1
Sr1 0.500 0.500 0.500 1
V1 0.500 0.500 0.000 1
Ga1 0.000 0.500 0.500 1
Ga2 0.500 0.000 0.500 1
# - E_form (eV/atom) = 1.284

# Rb2SrGaW (PBE, relaxed)
data_Rb2SrGaW
_space_group_name_H-M_alt 'P 1'
_space_group_IT_number 1
_space_group_name_Hall 'P 1'
_cell_length_a 6.724
_cell_length_b 6.724
_cell_length_c 5.122
_cell_angle_alpha 90.00
_cell_angle_beta 90.00
_cell_angle_gamma 90.00
loop_
_atom_site_label
_atom_site_fract_x
_atom_site_fract_y
_atom_site_fract_z
_atom_site_occupancy
Rb1 0.000 0.500 0.000 1
Rb2 0.500 0.000 0.000 1
Sr1 0.000 0.000 0.500 1
Ga1 0.500 0.500 0.000 1
W1 0.500 0.500 0.500 1
# - E_form (eV/atom) = 1.103

# RbSrZn2Ga (PBE, relaxed)
data_RbSrZn2Ga
_space_group_name_H-M_alt 'P 1'
_space_group_IT_number 1
_space_group_name_Hall 'P 1'
_cell_length_a 5.987
_cell_length_b 5.987
_cell_length_c 7.375
_cell_angle_alpha 90.00
_cell_angle_beta 90.00
_cell_angle_gamma 90.00
loop_
_atom_site_label
_atom_site_fract_x
_atom_site_fract_y
_atom_site_fract_z
_atom_site_occupancy
Rb1 0.000 0.000 0.000 1
Sr1 0.000 0.000 0.500 1
Zn1 0.000 0.500 0.500 1
Zn2 0.500 0.000 0.500 1
Ga1 0.500 0.500 0.000 1
# - E_form (eV/atom) = 0.788

| no. | magnetization (μB/f.u.) | E (eV/atom) |
| --- | --- | --- |
| 1 | 0.0 | -1.865 |
| 2 | 0.0 | -1.911 |
| 3 | 0.0 | -1.871 |
| 4 | 0.0 | -2.522 |
| 5 | 3.4 | -2.490 |
| 6 | 0.2 | -2.280 |
| 7 | 3.3 | -2.817 |
| 8 | 0.0 | -0.857 |